A relaxed LaTb6Pr5 crystal, computed with PBE.

Cell: 9.633 9.633 9.633 Å, 148.77 116.09 72.84°
Atoms (fractional coordinates):
La 0.000 0.000 0.000
Tb 0.084 0.833 0.250
Tb 0.251 0.500 0.751
Tb 0.417 0.167 0.250
Tb 0.583 0.833 0.750
Tb 0.749 0.500 0.249
Tb 0.916 0.167 0.750
Pr 0.167 0.667 0.500
Pr 0.333 0.333 0.000
Pr 0.500 0.000 0.500
Pr 0.667 0.667 0.000
Pr 0.833 0.333 0.500

## Properties
The value obtained for the formation enthalpy at 0 K is 0.016 eV per atom. The calculation puts the total magnetization at 0.0 μB/f.u. The calculation puts the energy above the most stable polymorph in this dataset at 6 meV/atom. The density of states at the Fermi level is 16.61 states/eV per cell. The crystal system is orthorhombic.